A geometry-optimized HfZr structure, computed with PBE.

```
12
Lattice="8.3442 -1.6056 0.0000 0.0000 6.4222 0.0000 0.0000 0.0000 5.1172" Properties=species:S:1:pos:R:3 pbc="T T T"
Hf 2.7718 1.6171 0.0000
Hf 0.0166 3.2104 0.0000
Hf 2.7745 4.8046 0.0000
Hf 7.4239 0.0120 2.5586
Hf 1.8375 3.2118 2.5586
Hf 7.4264 3.1995 2.5586
Zr 0.0000 0.0000 0.0000
Zr 5.5592 0.0044 0.0000
Zr 5.5683 3.2059 0.0000
Zr 1.8538 -0.0003 2.5586
Zr 4.6300 1.6107 2.5586
Zr 4.6391 4.8123 2.5586
```

The final energy comes out at -9.2476 eV per atom. For the energy above the most stable polymorph in this dataset, the calculation gives 0.8 kJ/mol of formula units. The value obtained for the calculated formation energy is 0.004 eV per atom.



A geometry-optimized HfZr structure, computed with PBE.

```
24
Lattice="16.7050 -0.0048 0.0000 -0.0018 6.4476 0.0000 0.0000 0.0000 5.1269" Properties=species:S:1:pos:R:3 pbc="T T T"
Hf 11.1092 0.0026 0.0000
Hf 8.3175 1.5976 0.0000
Hf 16.6939 3.2271 0.0000
Hf 2.7879 4.8288 0.0000
Hf 8.3370 4.8457 0.0000
Hf -0.0018 6.4407 0.0000
Hf 12.9876 0.0023 2.5635
Hf 15.7865 1.5992 2.5635
Hf 7.4580 3.2335 2.5635
Hf 4.6663 4.8285 2.5635
Hf 15.7743 4.8379 2.5635
Hf 7.4367 6.4330 2.5635
Zr 13.9096 1.6040 0.0000
Zr 2.7775 1.6091 0.0000
Zr 11.0789 3.2152 0.0000
Zr 5.5890 3.2407 0.0000
Zr 13.8977 4.8432 0.0000
Zr 5.5715 6.4291 0.0000
Zr 10.1864 1.5904 2.5635
Zr 4.6966 1.6159 2.5635
Zr 12.9980 3.2220 2.5635
Zr 1.8659 3.2272 2.5635
Zr 10.2022 4.8496 2.5635
Zr 1.8760 6.4355 2.5635
```

The final energy comes out at -9.2472 eV per atom. For the energy above the most stable polymorph in this dataset, the calculation gives 0.9 kJ/mol of formula units. The value obtained for the calculated formation energy is 0.004 eV per atom.



A geometry-optimized HfZr structure, computed with PBE.

```
2
Lattice="3.3392 -2.2499 -0.8046 1.6424 -2.3580 2.9329 -0.2903 -4.0882 -0.2500" Properties=species:S:1:pos:R:3 pbc="T T T"
Hf 0.0000 0.0000 0.0000
Zr 2.3457 -4.3480 0.9392
```

The final energy comes out at -8.2802 eV per atom. For the energy above the most stable polymorph in this dataset, the calculation gives 187.5 kJ/mol of formula units. The value obtained for the calculated formation energy is 0.971 eV per atom.



A geometry-optimized HfZr structure, computed with PBE.

```
16
Lattice="-4.2352 -3.5824 -0.3381 7.5085 -9.3200 4.6987 -1.4309 1.2432 4.7525" Properties=species:S:1:pos:R:3 pbc="T T T"
Hf -0.0045 -0.0067 0.0004
Hf 3.7473 -4.6638 2.3482
Hf 2.5840 -7.6041 2.7671
Hf 4.4641 -9.9378 3.9436
Hf -2.1208 -0.5671 2.2640
Hf -3.3167 -3.5360 2.6805
Hf -1.4379 -5.8681 3.8563
Hf 1.6331 -5.2261 4.6130
Zr -1.2039 -2.9405 0.4067
Zr -2.3506 -5.9057 0.8371
Zr 0.7095 -5.3149 1.6039
Zr 1.4106 -10.5595 3.1869
Zr -0.2641 -2.9148 3.4372
Zr 0.4345 -8.1598 5.0195
Zr 3.4943 -7.5705 5.7866
Zr 2.3513 -10.5382 6.2188
```

The final energy comes out at -9.2495 eV per atom. For the energy above the most stable polymorph in this dataset, the calculation gives 0.4 kJ/mol of formula units. The value obtained for the calculated formation energy is 0.002 eV per atom.



A geometry-optimized HfZr structure, computed with PBE.

```
12
Lattice="8.3495 -1.6056 0.0000 -0.0004 6.4202 0.0000 0.0000 0.0000 5.1164" Properties=species:S:1:pos:R:3 pbc="T T T"
Hf 5.5344 0.0015 0.0000
Hf 2.7926 1.6068 0.0000
Hf 2.7934 4.8124 0.0000
Hf 4.6287 1.6028 2.5582
Hf 1.8868 3.2082 2.5582
Hf 4.6275 4.8174 2.5582
Zr 0.0074 0.0064 0.0000
Zr 0.0290 3.2038 0.0000
Zr 5.5463 3.2084 0.0000
Zr 1.8749 0.0013 2.5582
Zr 7.3922 0.0057 2.5582
Zr 7.4138 3.2032 2.5582
```

The final energy comes out at -9.2500 eV per atom. For the energy above the most stable polymorph in this dataset, the calculation gives 0.3 kJ/mol of formula units. The value obtained for the calculated formation energy is 0.001 eV per atom.



A geometry-optimized HfZr structure, computed with PBE.

```
16
Lattice="-0.5679 -5.5282 0.2567 12.7193 -1.2414 1.4037 -0.5321 0.2904 5.0779" Properties=species:S:1:pos:R:3 pbc="T T T"
Hf 2.6463 -5.8308 0.6108
Hf 4.4851 -3.2359 0.6550
Hf 5.7596 -6.1346 0.9543
Hf 10.8439 -3.8654 1.3573
Hf 4.0321 -4.9115 3.2785
Hf 9.1156 -2.6431 3.6814
Hf 10.3907 -5.5417 3.9808
Hf 12.2301 -2.9471 4.0252
Zr -0.0011 -0.0110 0.0005
Zr 1.3091 -2.9074 0.3034
Zr 7.6650 -3.5277 1.0049
Zr 9.5392 -0.9421 1.0534
Zr 0.8552 -4.6295 2.9295
Zr 2.7353 -1.9973 2.9760
Zr 5.8959 -2.3057 3.3248
Zr 7.2033 -5.2490 3.6301
```

The final energy comes out at -9.2497 eV per atom. For the energy above the most stable polymorph in this dataset, the calculation gives 0.4 kJ/mol of formula units. The value obtained for the calculated formation energy is 0.002 eV per atom.



A geometry-optimized Hg structure, computed with PBE.

```
4
Lattice="1.7002 1.4321 3.0889 -4.0506 3.0221 0.8284 -4.4605 -2.6492 3.6834" Properties=species:S:1:pos:R:3 pbc="T T T"
Hg -3.8426 2.6383 3.2454
Hg -0.9739 1.8377 4.3635
Hg -5.8371 -0.0327 3.2372
Hg -2.9683 -0.8333 4.3553
```

The final energy comes out at -0.2844 eV per atom. For the energy above the most stable polymorph in this dataset, the calculation gives 1.3 kJ/mol of formula units. The value obtained for the calculated formation energy is 0.013 eV per atom.



A geometry-optimized Hg structure, computed with PBE.

```
4
Lattice="-1.9466 -2.8699 -0.4482 1.9412 1.2254 -2.6376 8.4911 -6.2797 3.3317" Properties=species:S:1:pos:R:3 pbc="T T T"
Hg 0.0000 0.0000 0.0000
Hg 2.7680 -1.7096 -1.0749
Hg 4.2455 -3.1399 1.6659
Hg 5.7176 -6.2146 1.3208
```

The final energy comes out at -0.2963 eV per atom. For the energy above the most stable polymorph in this dataset, the calculation gives 0.1 kJ/mol of formula units. The value obtained for the calculated formation energy is 0.001 eV per atom.



A geometry-optimized Hg structure, computed with PBE.

```
3
Lattice="-1.4363 2.9782 -1.1036 0.4235 -0.5711 3.4125 6.9399 4.6993 -1.8552" Properties=species:S:1:pos:R:3 pbc="T T T"
Hg 0.0000 0.0000 0.0000
Hg 2.3270 1.7857 1.7903
Hg 3.6001 5.3207 -1.3367
```

The final energy comes out at -0.2967 eV per atom. For the energy above the most stable polymorph in this dataset, the calculation gives 0.1 kJ/mol of formula units. The value obtained for the calculated formation energy is 0.001 eV per atom.



A geometry-optimized Hg structure, computed with PBE.

```
2
Lattice="-4.1464 0.0000 0.0000 -2.0732 -3.5909 0.0000 2.0732 1.1970 3.8374" Properties=species:S:1:pos:R:3 pbc="T T T"
Hg -4.1464 -2.3939 0.9646
Hg 0.0000 0.0000 2.8728
```

The final energy comes out at -0.2789 eV per atom. For the energy above the most stable polymorph in this dataset, the calculation gives 1.8 kJ/mol of formula units. The value obtained for the calculated formation energy is 0.019 eV per atom.



A geometry-optimized Hg structure, computed with PBE.

```
2
Lattice="3.2860 0.0000 0.0000 1.6430 3.1717 0.0000 0.0000 0.0000 5.4378" Properties=species:S:1:pos:R:3 pbc="T T T"
Hg 3.2860 0.9196 1.3595
Hg 1.6430 2.2520 4.0784
```

The final energy comes out at -0.2928 eV per atom. For the energy above the most stable polymorph in this dataset, the calculation gives 0.5 kJ/mol of formula units. The value obtained for the calculated formation energy is 0.005 eV per atom.



A geometry-optimized Hg structure, computed with PBE.

```
29
Lattice="-6.1412 1.5225 -8.1313 -4.5481 3.6883 8.4771 8.9504 4.8791 -1.4947" Properties=species:S:1:pos:R:3 pbc="T T T"
Hg 0.0000 0.0000 0.0000
Hg -2.1246 0.5267 -2.8130
Hg -5.0149 2.0343 -2.1613
Hg -1.5734 1.2760 2.9327
Hg -4.5705 2.6384 2.4714
Hg -7.7827 3.5210 -1.2933
Hg -7.4872 3.9227 1.7873
Hg -2.3855 2.8771 -0.1464
Hg -4.1525 2.8936 -5.2755
Hg -3.1624 4.2397 5.0470
Hg -4.8908 4.9622 -0.1780
Hg -0.8453 2.4021 -5.2415
Hg 0.0912 3.6752 4.5214
Hg 3.0964 1.6880 -0.5171
Hg 0.2196 3.1070 -2.0709
Hg 0.5271 3.5250 1.1345
Hg -2.6137 4.6290 -2.9852
Hg -2.1216 5.2980 2.1450
Hg 3.3644 3.3384 -3.3903
Hg 3.8565 4.0074 1.7398
Hg 0.6069 4.2612 -7.4910
Hg 1.8925 6.0089 5.9120
Hg -1.1373 6.5993 -0.7515
Hg 0.6728 5.4530 -4.2880
Hg 1.3294 6.3457 2.5574
Hg 2.0480 5.6658 -0.9353
Hg 3.4061 4.8838 -6.2600
Hg 4.3962 6.2298 4.0624
Hg 5.2273 4.9798 -1.1508
```

The final energy comes out at -0.2976 eV per atom. For the energy above the most stable polymorph in this dataset, the calculation gives 0.0 kJ/mol of formula units. The value obtained for the calculated formation energy is 0.000 eV per atom.



A geometry-optimized Hg structure, computed with PBE.

```
3
Lattice="-0.1021 -3.9423 -2.0232 -0.2032 0.2276 4.4218 -5.0671 0.2575 -0.2461" Properties=species:S:1:pos:R:3 pbc="T T T"
Hg -0.2039 -2.4808 1.6019
Hg -1.7229 -1.2237 -0.7541
Hg -3.4456 0.2473 1.3047
```

The final energy comes out at -0.2796 eV per atom. For the energy above the most stable polymorph in this dataset, the calculation gives 1.7 kJ/mol of formula units. The value obtained for the calculated formation energy is 0.018 eV per atom.



A geometry-optimized Hg structure, computed with PBE.

```
1
Lattice="0.8566 1.9140 2.5445 1.7005 1.9527 -2.0413 -3.3251 -0.5325 -0.6164" Properties=species:S:1:pos:R:3 pbc="T T T"
Hg 0.0000 0.0000 0.0000
```

The final energy comes out at -0.2777 eV per atom. For the energy above the most stable polymorph in this dataset, the calculation gives 1.9 kJ/mol of formula units. The value obtained for the calculated formation energy is 0.020 eV per atom.



A geometry-optimized Hg structure, computed with PBE.

```
4
Lattice="-1.7282 2.1297 -3.8278 3.0648 -3.5454 -0.4598 -4.6606 -4.0122 -0.1281" Properties=species:S:1:pos:R:3 pbc="T T T"
Hg -1.1652 -1.0031 -0.0320
Hg 0.3020 -2.6568 -1.6145
Hg -3.4955 -3.0092 -0.0961
Hg -3.6260 -2.7711 -2.8013
```

The final energy comes out at -0.0620 eV per atom. For the energy above the most stable polymorph in this dataset, the calculation gives 22.7 kJ/mol of formula units. The value obtained for the calculated formation energy is 0.236 eV per atom.



A geometry-optimized Ho2Hg structure, computed with PBE.

```
6
Lattice="-5.0572 -3.5769 -0.2131 -3.2514 -1.0806 5.1649 -5.6148 2.5262 0.7128" Properties=species:S:1:pos:R:3 pbc="T T T"
Hg 0.0000 0.0000 0.0000
Hg -3.4809 -0.5328 1.4161
Ho -5.8948 -2.5951 3.1839
Ho -7.0764 -0.7917 0.9579
Ho -6.1735 0.4564 3.6469
Ho -8.7021 -1.3320 3.5403
```

The final energy comes out at -2.8767 eV per atom. The value obtained for the calculated formation energy is 0.274 eV per atom.



A geometry-optimized Ho2Hg structure, computed with PBE.

```
12
Lattice="-6.5075 1.7152 -1.9021 -1.0336 -4.8956 -0.8786 -2.7914 -0.9679 8.6772" Properties=species:S:1:pos:R:3 pbc="T T T"
Hg -2.2527 -0.8691 0.1496
Hg -6.3422 -0.3013 1.7965
Hg -3.9902 -3.8470 4.1000
Hg -8.0797 -3.2791 5.7469
Ho -5.8643 0.1256 -1.1442
Ho -4.6758 -2.9768 0.0577
Ho -1.7258 -3.9397 1.9530
Ho -3.5863 -1.0704 2.8401
Ho -6.7461 -3.0778 3.0564
Ho -8.6066 -0.2085 3.9435
Ho -5.6566 -1.1715 5.8388
Ho -4.4682 -4.2738 7.0407
```

The final energy comes out at -3.5153 eV per atom. The value obtained for the calculated formation energy is -0.365 eV per atom.



A geometry-optimized Ho2Hg structure, computed with PBE.

```
6
Lattice="6.5327 -1.4193 6.1500 -2.0113 -3.9331 7.9372 2.8484 -8.4497 1.7326" Properties=species:S:1:pos:R:3 pbc="T T T"
Hg 1.8425 -3.4505 3.9549
Hg 3.6850 -6.9011 7.9099
Ho 6.0301 -5.8855 9.0074
Ho 2.7637 -5.1758 5.9324
Ho 1.7581 -7.1423 9.9010
Ho 4.1879 -9.4007 6.7987
```

The final energy comes out at -1.8223 eV per atom. The value obtained for the calculated formation energy is 1.328 eV per atom.



A geometry-optimized HoHg structure, computed with PBE.

```
2
Lattice="-3.1126 -1.5993 -3.1531 -3.7153 2.6398 -1.1897 -0.2291 1.9504 -4.2815" Properties=species:S:1:pos:R:3 pbc="T T T"
Hg 0.0000 0.0000 0.0000
Ho -1.7643 0.7477 -2.1561
```

The final energy comes out at -2.1074 eV per atom. The value obtained for the calculated formation energy is 0.330 eV per atom.



A geometry-optimized HoHg structure, computed with PBE.

```
2
Lattice="3.5936 0.0000 0.0000 -1.7968 3.1121 0.0000 0.0000 0.0000 4.7463" Properties=species:S:1:pos:R:3 pbc="T T T"
Hg 1.7968 1.0374 3.5597
Ho 0.0000 2.0748 1.1866
```

The final energy comes out at -2.7236 eV per atom. The value obtained for the calculated formation energy is -0.286 eV per atom.



A geometry-optimized Ho5In3Hg structure, computed with PBE.

```
18
Lattice="9.2142 0.0000 0.0000 -4.6071 7.9797 0.0000 0.0000 0.0000 6.6718" Properties=species:S:1:pos:R:3 pbc="T T T"
Hg 0.0000 0.0000 0.0000
Hg 0.0000 0.0000 3.3359
Ho 4.6071 2.6599 0.0000
Ho 0.0000 5.3198 0.0000
Ho 6.5860 0.0000 1.6680
Ho 1.3141 2.2761 1.6680
Ho -3.2930 5.7036 1.6680
Ho 4.6071 2.6599 3.3359
Ho 0.0000 5.3198 3.3359
Ho 2.6282 0.0000 5.0039
Ho -1.3141 2.2761 5.0039
Ho 3.2930 5.7036 5.0039
In 3.4694 0.0000 1.6680
In -1.7347 3.0046 1.6680
In 2.8724 4.9751 1.6680
In 5.7448 0.0000 5.0039
In 1.7347 3.0046 5.0039
In -2.8724 4.9751 5.0039
```

The final energy comes out at -3.9245 eV per atom.



A geometry-optimized PrHo2Mg3In2Hg structure, computed with PBE.

```
9
Lattice="4.6595 0.0000 0.0000 0.0000 6.6216 3.7432 0.0000 -6.6216 3.7432" Properties=species:S:1:pos:R:3 pbc="T T T"
Hg 0.0000 0.0000 7.4058
Ho 0.0000 3.8378 2.1909
Ho 0.0000 -3.8378 2.1909
In 2.3297 2.2588 3.7673
In 2.3297 -2.2588 3.7673
Mg 2.3297 1.5732 0.8894
Mg 2.3297 -1.5732 0.8894
Mg 2.3297 0.0000 5.6922
Pr 0.0000 0.0000 3.1538
```

The final energy comes out at -3.1219 eV per atom.



A geometry-optimized Ho2TmMg3In2Hg structure, computed with PBE.

```
9
Lattice="-2.6862 -0.5973 -3.6840 5.1337 -4.4993 -3.0139 -5.3374 -2.8663 4.3565" Properties=species:S:1:pos:R:3 pbc="T T T"
Hg -0.2032 -7.3503 1.3399
Ho 2.1680 -1.9038 -1.2722
Ho -2.2542 -1.2141 1.8405
In 0.2923 -4.2562 -2.3929
In -3.1824 -3.7143 0.0529
Mg 2.5628 -3.7228 -4.1349
Mg -1.3917 -2.0554 -1.5218
Mg -5.4041 -2.4803 1.4728
Tm -0.1177 -4.2586 0.7763
```

The final energy comes out at -3.0711 eV per atom.



A geometry-optimized Ho2HgIr structure, computed with PBE.

```
4
Lattice="-0.0229 -3.3965 0.7606 1.0078 0.7216 3.2525 -7.1375 0.5178 2.0967" Properties=species:S:1:pos:R:3 pbc="T T T"
Hg -3.0763 -1.0786 3.0550
Ho -1.5750 0.1143 0.4627
Ho -5.5625 0.4035 1.6341
Ir 0.4924 -1.3375 2.0066
```

The final energy comes out at -5.2783 eV per atom. The value obtained for the calculated formation energy is -0.702 eV per atom.